[1]
Computed, not measured: Hf2Ni2Mo after structural relaxation at the GGA-PBE level of DFT.

Geometry as POSCAR:
```
Hf2Ni2Mo
1.0
7.203 0.000 0.000
0.000 7.203 0.000
0.000 0.000 3.103
Hf Ni Mo
4 4 2
Direct
0.824 0.324 0.500
0.676 0.824 0.500
0.176 0.676 0.500
0.324 0.176 0.500
0.879 0.621 0.000
0.379 0.879 0.000
0.621 0.121 0.000
0.121 0.379 0.000
0.000 0.000 0.000
0.500 0.500 0.000
```

Properties
- DFT formation energy (meV per atom) = -211.2
- E (eV/atom) = -8.671
- calculated density (g/cm3) = 11.76

---

[2]
Computed, not measured: Hf3NiMo after structural relaxation at the GGA-PBE level of DFT.

Geometry as POSCAR:
```
Hf3NiMo
1.0
-2.688 3.604 -1.444
-3.670 -2.932 -0.488
-1.269 0.845 4.469
Mo Hf Ni
1 3 1
Direct
0.500 0.500 0.500
0.000 0.000 0.500
0.500 0.000 0.000
0.000 0.500 0.000
0.000 0.000 0.000
```

Properties
- DFT formation energy (meV per atom) = 573.1
- E (eV/atom) = -8.721
- calculated density (g/cm3) = 10.88
- relative energy among the computed polymorphs (eV/atom) = 0.0000

---

[3]
Computed, not measured: Hf2NiMo after structural relaxation at the GGA-PBE level of DFT.

Geometry as POSCAR:
```
Hf2NiMo
1.0
3.288 0.000 0.000
0.000 3.288 0.000
0.000 0.000 6.393
Hf Ni Mo
2 1 1
Direct
0.000 0.000 0.753
0.000 0.000 0.247
0.500 0.500 0.000
0.500 0.500 0.500
```

Properties
- DFT formation energy (meV per atom) = -285.2
- E (eV/atom) = -9.415
- calculated density (g/cm3) = 12.30

---

[4]
Computed, not measured: HfNi3Mo after structural relaxation at the GGA-PBE level of DFT.

Geometry as POSCAR:
```
HfNi3Mo
1.0
-3.178 -0.701 -3.001
1.609 -4.055 -0.757
-2.629 -1.634 3.166
Mo Ni Hf
1 3 1
Direct
0.000 0.000 0.000
0.000 0.500 0.000
0.000 0.000 0.500
0.500 0.000 0.000
0.500 0.500 0.500
```

Properties
- DFT formation energy (meV per atom) = 888.4
- E (eV/atom) = -6.737
- calculated density (g/cm3) = 8.62
- relative energy among the computed polymorphs (eV/atom) = 0.0000

---

[5]
Computed, not measured: HfNiMo2 after structural relaxation at the GGA-PBE level of DFT.

Geometry as POSCAR:
```
HfNiMo2
1.0
-2.612 0.673 3.565
-2.211 3.859 0.454
-4.445 0.098 -0.472
Ni Mo Hf
1 2 1
Direct
0.000 0.000 0.000
0.250 0.250 0.250
0.750 0.750 0.750
0.500 0.500 0.500
```

Properties
- DFT formation energy (meV per atom) = 272.0
- E (eV/atom) = -9.077
- calculated density (g/cm3) = 11.28
- relative energy among the computed polymorphs (eV/atom) = 0.0000

---

[6]
Computed, not measured: HfNiMo2 after structural relaxation at the GGA-PBE level of DFT.

Geometry as POSCAR:
```
HfNiMo2
1.0
-5.799 0.473 -4.617
-2.451 -6.587 2.403
-5.440 -1.922 0.661
Mo Ni Hf
4 2 2
Direct
0.875 0.832 0.750
0.168 0.625 0.250
0.375 0.418 0.750
0.582 0.125 0.250
0.250 0.750 0.500
0.500 0.500 0.000
0.750 0.250 0.500
0.000 0.000 0.000
```

Properties
- DFT formation energy (meV per atom) = 399.5
- E (eV/atom) = -8.950
- calculated density (g/cm3) = 10.42
- relative energy among the computed polymorphs (eV/atom) = 0.1275

---

[7]
Computed, not measured: HfPaNiMo after structural relaxation at the GGA-PBE level of DFT.

Geometry as POSCAR:
```
HfPaNiMo
1.0
4.720 0.000 0.000
2.360 4.088 0.000
2.360 1.363 3.854
Hf Mo Ni Pa
1 1 1 1
Direct
0.000 0.000 0.000
0.750 0.750 0.750
0.250 0.250 0.250
0.500 0.500 0.500
```

Properties
- DFT formation energy (meV per atom) = -128.1
- E (eV/atom) = -9.144
- calculated density (g/cm3) = 12.60

---

[8]
Computed, not measured: HfScNiMo after structural relaxation at the GGA-PBE level of DFT.

Geometry as POSCAR:
```
HfScNiMo
1.0
-1.858 3.398 -2.448
-2.906 -0.957 -3.411
-4.455 0.973 0.444
Mo Hf Ni Sc
1 1 1 1
Direct
0.750 0.750 0.750
0.500 0.500 0.500
0.250 0.250 0.250
0.000 0.000 0.000
```

Properties
- DFT formation energy (meV per atom) = -140.7
- E (eV/atom) = -8.365
- calculated density (g/cm3) = 9.23

---

[9]
Computed, not measured: HfNiSnMo2 after structural relaxation at the GGA-PBE level of DFT.

Geometry as POSCAR:
```
HfNiSnMo2
1.0
4.872 0.000 0.000
0.000 5.163 0.000
0.000 0.000 4.872
Sn Mo Hf Ni
1 2 1 1
Direct
0.000 0.000 0.000
0.000 0.000 0.500
0.500 0.000 0.000
0.000 0.500 0.000
0.500 0.500 0.500
```

Properties
- DFT formation energy (meV per atom) = 2120.6
- E (eV/atom) = -6.159
- calculated density (g/cm3) = 7.42

---

[10]
Computed, not measured: HfTcNiMo after structural relaxation at the GGA-PBE level of DFT.

Geometry as POSCAR:
```
HfTcNiMo
1.0
-3.318 2.130 -2.063
-2.219 -2.002 -3.297
-4.209 -1.304 0.622
Mo Hf Tc Ni
1 1 1 1
Direct
0.500 0.500 0.500
0.000 0.000 0.000
0.750 0.750 0.750
0.250 0.250 0.250
```

Properties
- DFT formation energy (meV per atom) = -136.2
- E (eV/atom) = -9.369
- calculated density (g/cm3) = 11.49